Record 1
This record from Alexandria describes HfGa3Cu after structural relaxation. The functional is PBE.

The calculation puts the density of states at the Fermi level at 3.4 states/eV/cell. As for the formation energy: -0.125 eV/atom. The uncorrected energy is -47.51 eV for the cell shown.

Lattice parameters (Å, degrees): 4.0339 6.4794 6.5523 90.00 90.00 90.00
Last column: nearest neighbours and their distance in Å.
Fractional positions:
Hf  0.2500  0.7500  0.6944  8 Ga 2.79-3.02, 2 Cu 2.81
Ga  0.7500  0.0453  0.7200  2 Cu 2.53, 2 Ga 2.65-2.74, 2 Hf 2.79
Cu  0.2500  0.2500  0.6034  5 Ga 2.47-2.53
Ga  0.2500  0.5453  0.2800  2 Cu 2.53, 2 Ga 2.65-2.74, 2 Hf 2.79
Ga  0.7500  0.4547  0.7200  2 Cu 2.53, 2 Ga 2.65-2.74, 2 Hf 2.79
Ga  0.2500  0.2500  0.9805  1 Cu 2.47, 2 Ga 2.74
Hf  0.7500  0.2500  0.3056  8 Ga 2.79-3.02, 2 Cu 2.81
Cu  0.7500  0.7500  0.3966  5 Ga 2.47-2.53
Ga  0.7500  0.7500  0.0195  1 Cu 2.47, 2 Ga 2.74
Ga  0.2500  0.9547  0.2800  2 Cu 2.53, 2 Ga 2.65-2.74, 2 Hf 2.79

=====

Record 2
This record from Alexandria describes Hf7Ga2Cu2 after structural relaxation. The functional is PBE.

The calculation puts the density of states at the Fermi level at 13.3 states/eV/cell. As for the formation energy: 0.189 eV/atom. The uncorrected energy is -81.85 eV for the cell shown.

Lattice parameters (Å, degrees): 6.0484 6.5768 6.0484 90.00 108.23 90.00
Last column: nearest neighbours and their distance in Å.
Fractional positions:
Hf  0.0000  0.7245  0.5001  2 Cu 2.56
Hf  0.5001  0.2755  0.0000  2 Cu 2.56
Hf  0.0000  0.2755  0.4999  2 Cu 2.56
Hf  0.0000  0.0000  0.0000  2 Cu 2.79
Hf  0.4999  0.7245  0.0000  2 Cu 2.56
Cu  0.2850  0.0000  0.7150  7 Hf 2.56-2.79
Hf  0.5000  0.2585  0.5000  2 Cu 2.71, 2 Ga 2.81, 4 Hf 3.03
Cu  0.7150  0.0000  0.2850  7 Hf 2.56-2.79
Ga  0.8264  0.5000  0.8264  1 Ga 2.46
Hf  0.5000  0.7415  0.5000  2 Cu 2.71, 2 Ga 2.81, 4 Hf 3.03
Ga  0.1736  0.5000  0.1736  1 Ga 2.46

=====

Record 3
This record from Alexandria describes HfGaCu after structural relaxation. The functional is PBE.

The calculation puts the density of states at the Fermi level at 4.3 states/eV/cell. As for the formation energy: -0.366 eV/atom. The uncorrected energy is -36.35 eV for the cell shown.

Lattice parameters (Å, degrees): 4.1424 5.3177 5.2945 105.94 113.03 67.05
Last column: nearest neighbours and their distance in Å.
Fractional positions:
Hf  0.7405  0.6092  0.5991  6 Cu 2.83-3.07, 6 Ga 2.85-3.00, 1 Hf 3.15
Ga  0.0384  0.0303  0.6167  3 Cu 2.42-2.68, 1 Ga 2.53
Ga  0.3751  0.7674  0.0272  3 Cu 2.42-2.68, 1 Ga 2.53
Hf  0.6731  0.1885  0.0448  6 Cu 2.83-3.07, 6 Ga 2.85-3.00, 1 Hf 3.15
Cu  0.0446  0.6052  0.2038  3 Ga 2.42-2.68, 1 Cu 2.47
Cu  0.3688  0.1928  0.4402  3 Ga 2.42-2.68, 1 Cu 2.47

=====

Record 4
This record from Alexandria describes HfGaCu after structural relaxation. The functional is PBE.

The calculation puts the density of states at the Fermi level at 2.5 states/eV/cell. As for the formation energy: -0.281 eV/atom. The uncorrected energy is -35.84 eV for the cell shown.

Lattice parameters (Å, degrees): 5.5436 3.4004 5.8608 106.88 103.57 72.10
Last column: nearest neighbours and their distance in Å.
Fractional positions:
Hf  0.5338  0.7112  0.2197  4 Cu 2.79-2.87, 5 Ga 2.89-2.94
Cu  0.1546  0.2647  0.9470  3 Ga 2.48-2.66, 1 Cu 2.61
Ga  0.6193  0.9679  0.8183  3 Cu 2.44-2.66, 1 Ga 2.64
Ga  0.9838  0.9768  0.2004  3 Cu 2.48, 1 Ga 2.64
Hf  0.2282  0.5367  0.5650  4 Ga 2.81-2.87, 5 Cu 2.81-2.95
Cu  0.7889  0.2613  0.5749  3 Ga 2.44-2.48, 1 Cu 2.61

=====

Among the records above, which one has the highest uncorrected energy? number 4

=====

Look up the uncorrected energy of the first one. -47.51 eV for the cell shown

=====

Which formula does entry 2 have? Hf7Ga2Cu2